A geometry-optimized PmLuBeAu structure. Source: Alexandria via LeMat-Bulk, functional PBE.

a = 5.0129 Å, b = 5.0129 Å, c = 5.0129 Å
α = 60.00°, β = 60.00°, γ = 60.00°
Closest atoms and distances in Å follow each position.
Sites, in units of the cell vectors:
Be1 0.5000 0.5000 0.5000  4 Pm 3.07, 4 Lu 3.07
Lu1 0.7500 0.7500 0.7500  4 Be 3.07, 4 Au 3.07
Au1 0.0000 0.0000 0.0000  4 Pm 3.07, 4 Lu 3.07
Pm1 0.2500 0.2500 0.2500  4 Be 3.07, 4 Au 3.07

## Properties
The value obtained for the theoretical density is 9.805 g/cm³. As for the space group: F-43m, No. 216. The calculated total energy comes out at -4.373 eV/atom.